# BeAlCo6 (PBE, relaxed)
# ΔH_f (0 K) = -12.9 kJ per mole of atoms
# SG = Cmmm (65)
data_BeAlCo6
_cell_length_a 6.216
_cell_length_b 6.216
_cell_length_c 11.229
_cell_angle_alpha 90.00
_cell_angle_beta 90.00
_cell_angle_gamma 127.92
_symmetry_space_group_name_H-M 'P 1'
_symmetry_Int_Tables_number 1
loop_
_symmetry_equiv_pos_as_xyz
'x,y,z'
loop_
_atom_site_label
_atom_site_fract_x
_atom_site_fract_y
_atom_site_fract_z
Al1 0.756 0.244 0.250
Al2 0.244 0.756 0.250
Al3 0.000 0.000 0.511
Al4 0.000 0.000 0.989
Be1 0.755 0.245 0.750
Be2 0.245 0.755 0.750
Be3 0.500 0.500 0.512
Be4 0.500 0.500 0.988
Co1 0.753 0.247 0.503
Co2 0.129 0.390 0.632
Co3 0.871 0.610 0.632
Co4 0.247 0.753 0.503
Co5 0.610 0.871 0.632
Co6 0.390 0.129 0.632
Co7 0.500 0.500 0.250
Co8 0.860 0.619 0.382
Co9 0.619 0.860 0.382
Co10 0.753 0.247 0.997
Co11 0.140 0.381 0.118
Co12 0.860 0.619 0.118
Co13 0.247 0.753 0.997
Co14 0.619 0.860 0.118
Co15 0.381 0.140 0.118
Co16 0.500 0.500 0.750
Co17 0.871 0.610 0.868
Co18 0.610 0.871 0.868
Co19 0.000 0.000 0.250
Co20 0.381 0.140 0.382
Co21 0.140 0.381 0.382
Co22 0.000 0.000 0.750
Co23 0.390 0.129 0.868
Co24 0.129 0.390 0.868

***

# K2IrBr (PBE, relaxed)
# SG = C2/m (12)
# Uncorrected formation energy = 175 meV/atom
data_K2IrBr
_cell_length_a 4.479
_cell_length_b 4.479
_cell_length_c 9.063
_cell_angle_alpha 74.85
_cell_angle_beta 74.85
_cell_angle_gamma 62.16
_symmetry_space_group_name_H-M 'P 1'
_symmetry_Int_Tables_number 1
loop_
_symmetry_equiv_pos_as_xyz
'x,y,z'
loop_
_atom_site_label
_atom_site_fract_x
_atom_site_fract_y
_atom_site_fract_z
Br1 0.750 0.750 0.750
Ir1 0.250 0.250 0.250
K1 0.005 0.005 0.983
K2 0.495 0.495 0.517

***

# NaSrSmI6 (PBE, relaxed)
# SG = P-31c (163)
# Uncorrected formation energy = -1459 meV/atom
data_NaSrSmI6
_cell_length_a 8.098
_cell_length_b 8.098
_cell_length_c 14.469
_cell_angle_alpha 90.00
_cell_angle_beta 90.00
_cell_angle_gamma 120.00
_symmetry_space_group_name_H-M 'P 1'
_symmetry_Int_Tables_number 1
loop_
_symmetry_equiv_pos_as_xyz
'x,y,z'
loop_
_atom_site_label
_atom_site_fract_x
_atom_site_fract_y
_atom_site_fract_z
Na1 0.000 0.000 0.000
Na2 0.000 0.000 0.500
Sr1 0.333 0.667 0.250
Sr2 0.667 0.333 0.750
Sm1 0.667 0.333 0.250
Sm2 0.333 0.667 0.750
I1 0.663 0.645 0.126
I2 0.981 0.337 0.126
I3 0.337 0.981 0.626
I4 0.019 0.663 0.874
I5 0.355 0.337 0.374
I6 0.981 0.645 0.374
I7 0.645 0.981 0.874
I8 0.663 0.019 0.374
I9 0.019 0.355 0.626
I10 0.355 0.019 0.126
I11 0.645 0.663 0.626
I12 0.337 0.355 0.874

***

# TaZnHg2 (PBE, relaxed)
# ΔH_f (0 K) = 40.5 kJ per mole of atoms
# SG = C2/m (12)
data_TaZnHg2
_cell_length_a 5.107
_cell_length_b 5.107
_cell_length_c 5.434
_cell_angle_alpha 78.25
_cell_angle_beta 78.25
_cell_angle_gamma 33.97
_symmetry_space_group_name_H-M 'P 1'
_symmetry_Int_Tables_number 1
loop_
_symmetry_equiv_pos_as_xyz
'x,y,z'
loop_
_atom_site_label
_atom_site_fract_x
_atom_site_fract_y
_atom_site_fract_z
Hg1 0.995 0.995 0.001
Hg2 0.505 0.505 0.499
Ta1 0.750 0.750 0.750
Zn1 0.250 0.250 0.250

***

# Pr6Ru2RhBr3 (PBE, relaxed)
# SG = C2/m (12)
# Uncorrected formation energy = -865 meV/atom
data_Pr6Ru2RhBr3
_cell_length_a 7.147
_cell_length_b 7.147
_cell_length_c 8.278
_cell_angle_alpha 98.28
_cell_angle_beta 98.28
_cell_angle_gamma 120.01
_symmetry_space_group_name_H-M 'P 1'
_symmetry_Int_Tables_number 1
loop_
_symmetry_equiv_pos_as_xyz
'x,y,z'
loop_
_atom_site_label
_atom_site_fract_x
_atom_site_fract_y
_atom_site_fract_z
Pr1 0.934 0.596 0.803
Pr2 0.728 0.728 0.198
Pr3 0.066 0.404 0.197
Pr4 0.596 0.934 0.803
Pr5 0.272 0.272 0.802
Pr6 0.404 0.066 0.197
Ru1 0.334 0.666 0.000
Ru2 0.666 0.334 0.000
Rh1 0.000 0.000 0.000
Br1 0.168 0.832 0.500
Br2 0.832 0.168 0.500
Br3 0.500 0.500 0.500

***

# Pu2MnPd6 (PBE, relaxed)
# ΔH_f (0 K) = -22.1 kJ per mole of atoms
# SG = Cmmm (65)
data_Pu2MnPd6
_cell_length_a 2.903
_cell_length_b 7.948
_cell_length_c 8.147
_cell_angle_alpha 119.20
_cell_angle_beta 89.96
_cell_angle_gamma 90.00
_symmetry_space_group_name_H-M 'P 1'
_symmetry_Int_Tables_number 1
loop_
_symmetry_equiv_pos_as_xyz
'x,y,z'
loop_
_atom_site_label
_atom_site_fract_x
_atom_site_fract_y
_atom_site_fract_z
Pu1 0.501 0.675 0.350
Pu2 0.499 0.325 0.650
Mn1 0.000 0.000 0.000
Pd1 0.000 0.333 0.318
Pd2 0.000 0.015 0.682
Pd3 0.000 0.667 0.682
Pd4 0.500 0.296 0.000
Pd5 0.000 0.985 0.318
Pd6 0.500 0.704 0.000

***

# Li2TaVRu (PBE, relaxed)
# ΔH_f (0 K) = 106.6 kJ per mole of atoms
# SG = P4/mmm (123)
data_Li2TaVRu
_cell_length_a 4.206
_cell_length_b 4.444
_cell_length_c 4.206
_cell_angle_alpha 90.00
_cell_angle_beta 90.00
_cell_angle_gamma 90.00
_symmetry_space_group_name_H-M 'P 1'
_symmetry_Int_Tables_number 1
loop_
_symmetry_equiv_pos_as_xyz
'x,y,z'
loop_
_atom_site_label
_atom_site_fract_x
_atom_site_fract_y
_atom_site_fract_z
Ru1 0.000 0.500 0.000
V1 0.000 0.000 0.000
Li1 0.000 0.000 0.500
Li2 0.500 0.000 0.000
Ta1 0.500 0.500 0.500

***

# LuZnPt (PBE, relaxed)
# ΔH_f (0 K) = -84.7 kJ per mole of atoms
# SG = P-6m2 (187)
data_LuZnPt
_cell_length_a 3.382
_cell_length_b 4.418
_cell_length_c 4.418
_cell_angle_alpha 120.00
_cell_angle_beta 90.00
_cell_angle_gamma 90.00
_symmetry_space_group_name_H-M 'P 1'
_symmetry_Int_Tables_number 1
loop_
_symmetry_equiv_pos_as_xyz
'x,y,z'
loop_
_atom_site_label
_atom_site_fract_x
_atom_site_fract_y
_atom_site_fract_z
Zn1 0.166 0.667 0.333
Lu1 0.667 0.333 0.667
Pt1 0.167 0.000 0.000

***

# YBi3Ir (PBE, relaxed)
# ΔH_f (0 K) = 127.9 kJ per mole of atoms
# SG = Pm-3m (221)
data_YBi3Ir
_cell_length_a 5.752
_cell_length_b 5.752
_cell_length_c 5.752
_cell_angle_alpha 90.00
_cell_angle_beta 90.00
_cell_angle_gamma 90.00
_symmetry_space_group_name_H-M 'P 1'
_symmetry_Int_Tables_number 1
loop_
_symmetry_equiv_pos_as_xyz
'x,y,z'
loop_
_atom_site_label
_atom_site_fract_x
_atom_site_fract_y
_atom_site_fract_z
Y1 0.000 0.000 0.000
Ir1 0.500 0.500 0.500
Bi1 0.000 0.500 0.000
Bi2 0.000 0.000 0.500
Bi3 0.500 0.000 0.000

***

# LiNbS (PBE, relaxed)
# SG = C2/m (12)
# Uncorrected formation energy = -620 meV/atom
data_LiNbS
_cell_length_a 4.377
_cell_length_b 7.060
_cell_length_c 7.602
_cell_angle_alpha 93.30
_cell_angle_beta 106.73
_cell_angle_gamma 90.00
_symmetry_space_group_name_H-M 'P 1'
_symmetry_Int_Tables_number 1
loop_
_symmetry_equiv_pos_as_xyz
'x,y,z'
loop_
_atom_site_label
_atom_site_fract_x
_atom_site_fract_y
_atom_site_fract_z
Li1 0.085 0.367 0.170
Li2 0.464 0.166 0.928
Li3 0.536 0.834 0.072
Li4 0.915 0.633 0.830
Nb1 0.243 0.627 0.486
Nb2 0.757 0.878 0.515
Nb3 0.757 0.373 0.514
Nb4 0.243 0.122 0.485
S1 0.362 0.396 0.724
S2 0.634 0.114 0.269
S3 0.638 0.604 0.276
S4 0.366 0.886 0.731

***

# Y12HoTl3 (PBE, relaxed)
# ΔH_f (0 K) = -12.9 kJ per mole of atoms
# SG = P4/mmm (123)
data_Y12HoTl3
_cell_length_a 4.885
_cell_length_b 4.885
_cell_length_c 19.953
_cell_angle_alpha 90.00
_cell_angle_beta 90.00
_cell_angle_gamma 90.00
_symmetry_space_group_name_H-M 'P 1'
_symmetry_Int_Tables_number 1
loop_
_symmetry_equiv_pos_as_xyz
'x,y,z'
loop_
_atom_site_label
_atom_site_fract_x
_atom_site_fract_y
_atom_site_fract_z
Y1 0.500 0.500 0.000
Y2 0.500 0.500 0.255
Y3 0.500 0.500 0.500
Y4 0.500 0.500 0.745
Y5 0.500 0.000 0.130
Y6 0.500 0.000 0.377
Y7 0.500 0.000 0.623
Y8 0.500 0.000 0.870
Y9 0.000 0.500 0.130
Y10 0.000 0.500 0.377
Y11 0.000 0.500 0.623
Y12 0.000 0.500 0.870
Ho1 0.000 0.000 0.000
Tl1 0.000 0.000 0.257
Tl2 0.000 0.000 0.500
Tl3 0.000 0.000 0.743

***

# ScMoRh2 (PBE, relaxed)
# ΔH_f (0 K) = -30.4 kJ per mole of atoms
# SG = P4/mmm (123)
data_ScMoRh2
_cell_length_a 4.127
_cell_length_b 4.129
_cell_length_c 3.715
_cell_angle_alpha 90.00
_cell_angle_beta 90.00
_cell_angle_gamma 90.00
_symmetry_space_group_name_H-M 'P 1'
_symmetry_Int_Tables_number 1
loop_
_symmetry_equiv_pos_as_xyz
'x,y,z'
loop_
_atom_site_label
_atom_site_fract_x
_atom_site_fract_y
_atom_site_fract_z
Mo1 0.000 0.500 0.500
Rh1 0.000 0.000 0.000
Rh2 0.500 0.500 0.000
Sc1 0.500 0.000 0.500

***

# MnTe2IrN (PBE, relaxed)
# SG = P4/mmm (123)
# Uncorrected formation energy = 472 meV/atom
data_MnTe2IrN
_cell_length_a 5.118
_cell_length_b 5.118
_cell_length_c 3.388
_cell_angle_alpha 90.00
_cell_angle_beta 90.00
_cell_angle_gamma 90.00
_symmetry_space_group_name_H-M 'P 1'
_symmetry_Int_Tables_number 1
loop_
_symmetry_equiv_pos_as_xyz
'x,y,z'
loop_
_atom_site_label
_atom_site_fract_x
_atom_site_fract_y
_atom_site_fract_z
Ir1 0.500 0.500 0.500
Te1 0.000 0.500 0.000
Te2 0.500 0.000 0.000
Mn1 0.000 0.000 0.000
N1 0.000 0.000 0.500

***

# ErSc2AgC (PBE, relaxed)
# ΔH_f (0 K) = -34.4 kJ per mole of atoms
# SG = P4/mmm (123)
data_ErSc2AgC
_cell_length_a 4.478
_cell_length_b 4.478
_cell_length_c 4.971
_cell_angle_alpha 90.00
_cell_angle_beta 90.00
_cell_angle_gamma 90.00
_symmetry_space_group_name_H-M 'P 1'
_symmetry_Int_Tables_number 1
loop_
_symmetry_equiv_pos_as_xyz
'x,y,z'
loop_
_atom_site_label
_atom_site_fract_x
_atom_site_fract_y
_atom_site_fract_z
Er1 0.000 0.000 0.500
Sc1 0.000 0.500 0.000
Sc2 0.500 0.000 0.000
Ag1 0.500 0.500 0.500
C1 0.000 0.000 0.000

***

# CeGdMgOs (PBE, relaxed)
# ΔH_f (0 K) = -5.0 kJ per mole of atoms
# SG = F-43m (216)
data_CeGdMgOs
_cell_length_a 5.050
_cell_length_b 5.050
_cell_length_c 5.050
_cell_angle_alpha 60.00
_cell_angle_beta 60.00
_cell_angle_gamma 60.00
_symmetry_space_group_name_H-M 'P 1'
_symmetry_Int_Tables_number 1
loop_
_symmetry_equiv_pos_as_xyz
'x,y,z'
loop_
_atom_site_label
_atom_site_fract_x
_atom_site_fract_y
_atom_site_fract_z
Mg1 0.500 0.500 0.500
Gd1 0.250 0.250 0.250
Os1 0.000 0.000 0.000
Ce1 0.750 0.750 0.750

***

# Tm2Ga3Pd4 (PBE, relaxed)
# ΔH_f (0 K) = -82.4 kJ per mole of atoms
# SG = Cmce (64)
data_Tm2Ga3Pd4
_cell_length_a 5.548
_cell_length_b 7.691
_cell_length_c 8.021
_cell_angle_alpha 90.00
_cell_angle_beta 110.23
_cell_angle_gamma 90.00
_symmetry_space_group_name_H-M 'P 1'
_symmetry_Int_Tables_number 1
loop_
_symmetry_equiv_pos_as_xyz
'x,y,z'
loop_
_atom_site_label
_atom_site_fract_x
_atom_site_fract_y
_atom_site_fract_z
Tm1 0.109 0.584 0.218
Tm2 0.891 0.416 0.782
Tm3 0.391 0.084 0.782
Tm4 0.609 0.916 0.218
Ga1 0.000 0.000 0.000
Ga2 0.500 0.500 0.000
Ga3 0.519 0.750 0.538
Ga4 0.981 0.250 0.462
Ga5 0.481 0.250 0.462
Ga6 0.019 0.750 0.538
Pd1 0.691 0.750 0.883
Pd2 0.809 0.250 0.117
Pd3 0.309 0.250 0.117
Pd4 0.191 0.750 0.883
Pd5 0.182 0.980 0.363
Pd6 0.818 0.020 0.637
Pd7 0.318 0.480 0.637
Pd8 0.682 0.520 0.363

***

# Pm7DyGa4 (PBE, relaxed)
# ΔH_f (0 K) = -19.7 kJ per mole of atoms
# SG = C2/m (12)
data_Pm7DyGa4
_cell_length_a 5.604
_cell_length_b 9.210
_cell_length_c 7.470
_cell_angle_alpha 77.39
_cell_angle_beta 67.97
_cell_angle_gamma 72.29
_symmetry_space_group_name_H-M 'P 1'
_symmetry_Int_Tables_number 1
loop_
_symmetry_equiv_pos_as_xyz
'x,y,z'
loop_
_atom_site_label
_atom_site_fract_x
_atom_site_fract_y
_atom_site_fract_z
Pm1 0.794 0.880 0.532
Pm2 0.206 0.120 0.468
Pm3 0.065 0.614 0.256
Pm4 0.935 0.386 0.744
Pm5 0.295 0.645 0.765
Pm6 0.500 0.000 0.000
Pm7 0.705 0.355 0.235
Dy1 0.000 0.000 0.000
Ga1 0.554 0.242 0.651
Ga2 0.446 0.758 0.349
Ga3 0.678 0.670 0.974
Ga4 0.322 0.330 0.026

***

# AlTcAu3 (PBE, relaxed)
# ΔH_f (0 K) = 81.0 kJ per mole of atoms
# SG = Pm-3m (221)
data_AlTcAu3
_cell_length_a 4.761
_cell_length_b 4.761
_cell_length_c 4.761
_cell_angle_alpha 90.00
_cell_angle_beta 90.00
_cell_angle_gamma 90.00
_symmetry_space_group_name_H-M 'P 1'
_symmetry_Int_Tables_number 1
loop_
_symmetry_equiv_pos_as_xyz
'x,y,z'
loop_
_atom_site_label
_atom_site_fract_x
_atom_site_fract_y
_atom_site_fract_z
Au1 0.000 0.500 0.000
Au2 0.000 0.000 0.500
Au3 0.500 0.000 0.000
Tc1 0.500 0.500 0.500
Al1 0.000 0.000 0.000

***

# InBiPt6 (PBE, relaxed)
# ΔH_f (0 K) = -22.4 kJ per mole of atoms
# SG = P4/mmm (123)
data_InBiPt6
_cell_length_a 4.108
_cell_length_b 4.108
_cell_length_c 8.201
_cell_angle_alpha 90.00
_cell_angle_beta 90.00
_cell_angle_gamma 90.00
_symmetry_space_group_name_H-M 'P 1'
_symmetry_Int_Tables_number 1
loop_
_symmetry_equiv_pos_as_xyz
'x,y,z'
loop_
_atom_site_label
_atom_site_fract_x
_atom_site_fract_y
_atom_site_fract_z
In1 0.000 0.000 0.500
Bi1 0.000 0.000 0.000
Pt1 0.500 0.500 0.000
Pt2 0.500 0.500 0.500
Pt3 0.500 0.000 0.259
Pt4 0.500 0.000 0.741
Pt5 0.000 0.500 0.259
Pt6 0.000 0.500 0.741

***

# La2GePPt6 (PBE, relaxed)
# ΔH_f (0 K) = -93.3 kJ per mole of atoms
# SG = Pmmn (59)
data_La2GePPt6
_cell_length_a 5.609
_cell_length_b 8.438
_cell_length_c 8.524
_cell_angle_alpha 90.00
_cell_angle_beta 90.00
_cell_angle_gamma 90.00
_symmetry_space_group_name_H-M 'P 1'
_symmetry_Int_Tables_number 1
loop_
_symmetry_equiv_pos_as_xyz
'x,y,z'
loop_
_atom_site_label
_atom_site_fract_x
_atom_site_fract_y
_atom_site_fract_z
La1 0.500 0.730 0.253
La2 0.000 0.270 0.753
La3 0.500 0.730 0.747
La4 0.000 0.270 0.247
Ge1 0.000 0.724 0.500
Ge2 0.500 0.276 0.000
P1 0.500 0.254 0.500
P2 0.000 0.746 0.000
Pt1 0.500 0.121 0.255
Pt2 0.500 0.121 0.745
Pt3 0.000 0.879 0.245
Pt4 0.000 0.879 0.755
Pt5 0.250 0.992 0.500
Pt6 0.750 0.992 0.500
Pt7 0.253 0.482 0.500
Pt8 0.747 0.482 0.500
Pt9 0.753 0.518 0.000
Pt10 0.247 0.518 0.000
Pt11 0.250 0.008 0.000
Pt12 0.750 0.008 0.000

***

# Be2ReBAs (PBE, relaxed)
# ΔH_f (0 K) = 110.9 kJ per mole of atoms
# SG = P4/mmm (123)
data_Be2ReBAs
_cell_length_a 4.307
_cell_length_b 4.082
_cell_length_c 4.307
_cell_angle_alpha 90.00
_cell_angle_beta 90.00
_cell_angle_gamma 90.00
_symmetry_space_group_name_H-M 'P 1'
_symmetry_Int_Tables_number 1
loop_
_symmetry_equiv_pos_as_xyz
'x,y,z'
loop_
_atom_site_label
_atom_site_fract_x
_atom_site_fract_y
_atom_site_fract_z
Re1 0.000 0.000 0.000
As1 0.500 0.500 0.500
B1 0.000 0.500 0.000
Be1 0.000 0.000 0.500
Be2 0.500 0.000 0.000

***

# ZrSb2Rh (PBE, relaxed)
# SG = Cmmm (65)
# Uncorrected formation energy = -306 meV/atom
data_ZrSb2Rh
_cell_length_a 3.448
_cell_length_b 3.448
_cell_length_c 7.154
_cell_angle_alpha 90.00
_cell_angle_beta 90.00
_cell_angle_gamma 101.96
_symmetry_space_group_name_H-M 'P 1'
_symmetry_Int_Tables_number 1
loop_
_symmetry_equiv_pos_as_xyz
'x,y,z'
loop_
_atom_site_label
_atom_site_fract_x
_atom_site_fract_y
_atom_site_fract_z
Rh1 0.500 0.500 0.750
Sb1 0.000 0.000 0.974
Sb2 0.000 0.000 0.526
Zr1 0.500 0.500 0.250

***

# MgH3Rh (PBE, relaxed)
# E = -3.958 eV/atom
# SG = C2/m (12)
data_MgH3Rh
_cell_length_a 12.836
_cell_length_b 5.666
_cell_length_c 5.666
_cell_angle_alpha 148.42
_cell_angle_beta 152.10
_cell_angle_gamma 27.90
_symmetry_space_group_name_H-M 'P 1'
_symmetry_Int_Tables_number 1
loop_
_symmetry_equiv_pos_as_xyz
'x,y,z'
loop_
_atom_site_label
_atom_site_fract_x
_atom_site_fract_y
_atom_site_fract_z
H1 0.775 0.288 0.712
H2 0.225 0.712 0.288
H3 0.058 0.256 0.744
H4 0.942 0.744 0.256
H5 0.490 0.712 0.288
H6 0.510 0.288 0.712
Mg1 0.830 0.053 0.947
Mg2 0.170 0.947 0.053
Rh1 0.646 0.981 0.019
Rh2 0.354 0.019 0.981